[1]
# TlHg2SbS4 (PBE, optimized geometry)
# Formation energy from raw total energies (eV per atom): -0.118
# E (eV per atom): -3.0679
data_TlHg2SbS4
_chemical_formula_sum 'Tl2 Hg4 Sb2 S8'
_cell_length_a 6.987
_cell_length_b 8.037
_cell_length_c 8.481
_cell_angle_alpha 90.00
_cell_angle_beta 90.00
_cell_angle_gamma 90.00
_symmetry_space_group_name_H-M 'I 2 2 2'
_symmetry_Int_Tables_number 23
_symmetry_space_group_name_Hall 'I 2 2'
loop_
_atom_site_label
_atom_site_type_symbol
_atom_site_fract_x
_atom_site_fract_y
_atom_site_fract_z
_atom_site_occupancy
Tl1 Tl 0.000 0.000 0.000 1
Hg1 Hg 0.000 0.500 0.192 1
Sb1 Sb 0.000 0.000 0.500 1
S1 S 0.232 0.182 0.317 1

***

[2]
# Tl2HgSbS4 (PBE, optimized geometry)
# Formation energy from raw total energies (eV per atom): -0.199
# E (eV per atom): -3.4073
data_Tl2HgSbS4
_chemical_formula_sum 'Tl4 Hg2 Sb2 S8'
_cell_length_a 9.257
_cell_length_b 8.977
_cell_length_c 6.922
_cell_angle_alpha 90.00
_cell_angle_beta 128.08
_cell_angle_gamma 90.00
_symmetry_space_group_name_H-M 'C 1 2 1'
_symmetry_Int_Tables_number 5
_symmetry_space_group_name_Hall 'C 2y'
loop_
_atom_site_label
_atom_site_type_symbol
_atom_site_fract_x
_atom_site_fract_y
_atom_site_fract_z
_atom_site_occupancy
Tl1 Tl 0.000 0.000 0.000 1
Tl2 Tl 0.000 0.264 0.500 1
Hg1 Hg 0.000 0.460 0.000 1
Sb1 Sb 0.000 0.733 0.500 1
S1 S 0.180 0.564 0.440 1
S2 S 0.242 0.283 0.032 1

***

[3]
# TlHgSbS3 (PBE, optimized geometry)
# Formation energy from raw total energies (eV per atom): -0.227
# E (eV per atom): -3.4229
data_TlHgSbS3
_chemical_formula_sum 'Tl2 Hg2 Sb2 S6'
_cell_length_a 9.214
_cell_length_b 4.049
_cell_length_c 9.772
_cell_angle_alpha 90.00
_cell_angle_beta 93.80
_cell_angle_gamma 90.00
_symmetry_space_group_name_H-M 'P 1 21/m 1'
_symmetry_Int_Tables_number 11
_symmetry_space_group_name_Hall '-P 2yb'
loop_
_atom_site_label
_atom_site_type_symbol
_atom_site_fract_x
_atom_site_fract_y
_atom_site_fract_z
_atom_site_occupancy
Tl1 Tl 0.134 0.250 0.192 1
Hg1 Hg 0.136 0.250 0.589 1
Sb1 Sb 0.385 0.750 0.856 1
S1 S 0.175 0.750 0.435 1
S2 S 0.189 0.250 0.849 1
S3 S 0.392 0.750 0.107 1

***

[4]
# VHgSbS2 (PBE, optimized geometry)
# Formation energy from raw total energies (eV per atom): 0.110
# E (eV per atom): -4.2492
data_VHgSbS2
_chemical_formula_sum 'V1 Hg1 Sb1 S2'
_cell_length_a 4.462
_cell_length_b 4.462
_cell_length_c 5.715
_cell_angle_alpha 90.00
_cell_angle_beta 90.00
_cell_angle_gamma 90.00
_symmetry_space_group_name_H-M 'P 4/m m m'
_symmetry_Int_Tables_number 123
_symmetry_space_group_name_Hall '-P 4 2'
loop_
_atom_site_label
_atom_site_type_symbol
_atom_site_fract_x
_atom_site_fract_y
_atom_site_fract_z
_atom_site_occupancy
V1 V 0.000 0.000 0.000 1
Hg1 Hg 0.000 0.000 0.500 1
Sb1 Sb 0.500 0.500 0.500 1
S1 S 0.000 0.500 0.000 1

***

[5]
# YHgSb2S (PBE, optimized geometry)
# Formation energy from raw total energies (eV per atom): 0.562
# E (eV per atom): -3.2652
data_YHgSb2S
_chemical_formula_sum 'Y1 Hg1 Sb2 S1'
_cell_length_a 5.323
_cell_length_b 5.323
_cell_length_c 5.932
_cell_angle_alpha 90.00
_cell_angle_beta 90.00
_cell_angle_gamma 90.00
_symmetry_space_group_name_H-M 'P 4/m m m'
_symmetry_Int_Tables_number 123
_symmetry_space_group_name_Hall '-P 4 2'
loop_
_atom_site_label
_atom_site_type_symbol
_atom_site_fract_x
_atom_site_fract_y
_atom_site_fract_z
_atom_site_occupancy
Y1 Y 0.000 0.000 0.000 1
Hg1 Hg 0.000 0.000 0.500 1
Sb1 Sb 0.000 0.500 0.500 1
S1 S 0.500 0.500 0.000 1

***

[6]
# Sc5HgS8 (PBE, optimized geometry)
# Formation energy from raw total energies (eV per atom): -1.617
# E (eV per atom): -6.2580
data_Sc5HgS8
_chemical_formula_sum 'Sc10 Hg2 S16'
_cell_length_a 19.461
_cell_length_b 3.715
_cell_length_c 9.135
_cell_angle_alpha 90.00
_cell_angle_beta 105.44
_cell_angle_gamma 90.00
_symmetry_space_group_name_H-M 'C 1 m 1'
_symmetry_Int_Tables_number 8
_symmetry_space_group_name_Hall 'C -2y'
loop_
_atom_site_label
_atom_site_type_symbol
_atom_site_fract_x
_atom_site_fract_y
_atom_site_fract_z
_atom_site_occupancy
Sc1 Sc 0.000 0.000 0.000 1
Sc2 Sc 0.048 0.000 0.388 1
Sc3 Sc 0.141 0.500 0.702 1
Sc4 Sc 0.189 0.500 0.090 1
Sc5 Sc 0.344 0.000 0.045 1
Hg1 Hg 0.346 0.500 0.546 1
S1 S 0.014 0.500 0.539 1
S2 S 0.076 0.500 0.192 1
S3 S 0.113 0.000 0.898 1
S4 S 0.174 0.000 0.551 1
S5 S 0.265 0.000 0.234 1
S6 S 0.265 0.500 0.898 1
S7 S 0.423 0.000 0.856 1
S8 S 0.423 0.500 0.191 1

***

Number 1: total magnetic moment 0.00 μB/cell. Number 2: total magnetic moment 0.00 μB/cell. Number 3: total magnetic moment 0.00 μB/cell. Number 4: total magnetic moment 0.84 μB/cell. Number 5: total magnetic moment 0.34 μB/cell. Number 6: total magnetic moment 0.00 μB/cell.